A plane-wave DFT calculation with PBE-GGA was carried out for a relaxed Ho2ThTl3Se6 crystal.

Computed properties:
Volume   363 Å³ per cell
DFT total energy   -60.17 eV/f.u.

abc: 7.217 7.217 8.398
angles: 98.23 98.23 119.98
Positions (direct):
Ho 0.333 0.667 0.000
Ho 0.667 0.333 0.000
Th 0.000 0.000 0.000
Tl 0.169 0.831 0.500
Tl 0.831 0.169 0.500
Tl 0.500 0.500 0.500
Se 0.933 0.594 0.799
Se 0.729 0.729 0.201
Se 0.067 0.406 0.201
Se 0.594 0.933 0.799
Se 0.271 0.271 0.799
Se 0.406 0.067 0.201

---

A plane-wave DFT calculation with PBE-GGA was carried out for a relaxed Ho3TmTh4Se8 crystal.

Computed properties:
Volume   397 Å³ per cell
DFT total energy   -101.80 eV/f.u.

abc: 8.025 8.494 8.025
angles: 118.19 120.00 90.00
Positions (direct):
Ho 0.500 0.500 0.000
Ho 0.500 0.500 0.500
Ho 0.000 0.500 0.500
Tm 0.000 0.500 0.000
Th 0.500 0.000 0.000
Th 0.500 0.000 0.500
Th 0.000 0.000 0.000
Th 0.000 0.000 0.500
Se 0.243 0.731 0.988
Se 0.243 0.731 0.485
Se 0.256 0.268 0.512
Se 0.745 0.731 0.988
Se 0.255 0.269 0.012
Se 0.744 0.732 0.488
Se 0.757 0.269 0.515
Se 0.757 0.269 0.012

---

A plane-wave DFT calculation with PBE-GGA was carried out for a relaxed HoTm3Th4Se8 crystal.

Computed properties:
Volume   394 Å³ per cell
DFT total energy   -101.38 eV/f.u.

abc: 7.989 8.499 7.988
angles: 118.04 120.00 90.00
Positions (direct):
Ho 0.000 0.500 0.000
Tm 0.500 0.500 0.000
Tm 0.500 0.500 0.500
Tm 0.000 0.500 0.500
Th 0.500 0.000 0.000
Th 0.500 0.000 0.500
Th 0.000 0.000 0.000
Th 0.000 0.000 0.500
Se 0.244 0.729 0.985
Se 0.244 0.729 0.488
Se 0.257 0.272 0.514
Se 0.741 0.729 0.985
Se 0.259 0.271 0.015
Se 0.743 0.728 0.486
Se 0.756 0.271 0.512
Se 0.756 0.271 0.015

---

A plane-wave DFT calculation with PBE-GGA was carried out for a relaxed HoTm2Th3Se6 crystal.

Computed properties:
Volume   296 Å³ per cell
DFT total energy   -76.01 eV/f.u.

abc: 6.866 6.866 7.593
angles: 98.67 98.67 119.81
Positions (direct):
Ho 0.000 0.000 0.000
Tm 0.333 0.667 0.000
Tm 0.667 0.333 0.000
Th 0.166 0.834 0.500
Th 0.834 0.166 0.500
Th 0.500 0.500 0.500
Se 0.923 0.588 0.771
Se 0.740 0.740 0.228
Se 0.077 0.412 0.229
Se 0.588 0.923 0.771
Se 0.260 0.260 0.772
Se 0.412 0.077 0.229

---

A plane-wave DFT calculation with PBE-GGA was carried out for a relaxed Ho3Tm2ThSe6 crystal.

Computed properties:
Volume   287 Å³ per cell
DFT total energy   -70.95 eV/f.u.

abc: 4.029 8.231 9.059
angles: 101.25 102.85 90.00
Positions (direct):
Ho 0.500 0.500 0.000
Ho 0.842 0.164 0.684
Ho 0.158 0.836 0.316
Tm 0.836 0.669 0.673
Tm 0.164 0.331 0.327
Th 0.500 0.000 0.000
Se 0.325 0.907 0.651
Se 0.669 0.584 0.339
Se 0.675 0.093 0.349
Se 0.004 0.265 0.007
Se 0.996 0.735 0.993
Se 0.331 0.416 0.661

---

A plane-wave DFT calculation with PBE-GGA was carried out for a relaxed HoTm2ThSe4 crystal.

Computed properties:
Volume   192 Å³ per cell
DFT total energy   -47.91 eV/f.u.

abc: 4.015 7.154 7.050
angles: 71.24 90.00 90.00
Positions (direct):
Ho 0.000 0.500 0.500
Tm 0.000 0.000 0.000
Tm 0.500 0.000 0.500
Th 0.500 0.500 0.000
Se 0.000 0.765 0.738
Se 0.000 0.235 0.262
Se 0.500 0.760 0.254
Se 0.500 0.240 0.746

---

A plane-wave DFT calculation with PBE-GGA was carried out for a relaxed Y3HoTh4Se8 crystal.

Computed properties:
Volume   402 Å³ per cell
DFT total energy   -107.87 eV/f.u.

abc: 8.079 8.497 8.079
angles: 118.38 120.00 90.00
Positions (direct):
Y 0.500 0.500 0.000
Y 0.500 0.500 0.500
Y 0.000 0.500 0.500
Ho 0.000 0.500 0.000
Th 0.500 0.000 0.000
Th 0.500 0.000 0.500
Th 0.000 0.000 0.000
Th 0.000 0.000 0.500
Se 0.244 0.734 0.990
Se 0.244 0.734 0.488
Se 0.255 0.265 0.510
Se 0.746 0.734 0.990
Se 0.254 0.266 0.010
Se 0.745 0.735 0.490
Se 0.756 0.266 0.512
Se 0.756 0.266 0.010

---

A plane-wave DFT calculation with PBE-GGA was carried out for a relaxed Y3Ho4ThSe8 crystal.

Computed properties:
Volume   387 Å³ per cell
DFT total energy   -100.23 eV/f.u.

abc: 8.173 8.187 8.176
angles: 119.97 119.99 90.00
Positions (direct):
Y 0.500 0.500 0.000
Y 0.500 0.500 0.500
Y 0.000 0.500 0.500
Ho 0.500 0.000 0.000
Ho 0.500 0.000 0.500
Ho 0.000 0.000 0.000
Ho 0.000 0.000 0.500
Th 0.000 0.500 0.000
Se 0.255 0.757 0.002
Se 0.255 0.757 0.510
Se 0.249 0.247 0.498
Se 0.747 0.757 0.002
Se 0.253 0.243 0.998
Se 0.751 0.753 0.502
Se 0.745 0.243 0.490
Se 0.745 0.243 0.998

---

A plane-wave DFT calculation with PBE-GGA was carried out for a relaxed Y3Ho2ThSe6 crystal.

Computed properties:
Volume   293 Å³ per cell
DFT total energy   -77.32 eV/f.u.

abc: 4.076 8.252 9.142
angles: 102.11 102.88 90.00
Positions (direct):
Y 0.500 0.500 0.000
Y 0.840 0.165 0.679
Y 0.160 0.835 0.321
Ho 0.836 0.671 0.673
Ho 0.164 0.329 0.327
Th 0.500 0.000 0.000
Se 0.327 0.910 0.654
Se 0.669 0.582 0.338
Se 0.673 0.090 0.346
Se 0.002 0.262 0.004
Se 0.998 0.738 0.996
Se 0.331 0.418 0.662

---

A plane-wave DFT calculation with PBE-GGA was carried out for a relaxed HoTiSe crystal.

Computed properties:
Volume   132 Å³ per cell
DFT total energy   -18.18 eV/f.u.

abc: 4.656 3.601 8.393
angles: 102.39 106.10 90.00
Site moments in Bohr magnetons follow the coordinates.
Positions (direct):
Ho 0.664 0.164 0.327  0.00
Ho 0.336 0.836 0.673  0.00
Ti 0.743 0.500 0.000  0.13
Ti 0.257 0.500 0.000  0.13
Se 0.156 0.656 0.312  0.00
Se 0.844 0.344 0.688  0.00

---

Computed calculated density (Mg/m³) in order:
7.541, 9.299, 9.393, 9.376, 8.903, 9.099, 8.236, 7.680, 7.387, 7.353